A relaxed MgHg2Au8 crystal, computed with PBE-GGA.

DOS at the Fermi energy: 8.4 states/eV/cell
M_tot: 0.000 μB per atom
Offset from the most stable computed form: 0.113 eV/atom
ΔH_f (0 K): 0.002 eV per atom
Calculated volume: 248 Å³/f.u.
Calculated total energy: -2.58 eV/atom

Unit cell a=11.0574 b=8.9966 c=5.3545 alpha=90.00 beta=111.16 gamma=90.00
Space group C2/m (No. 12)
Unique sites:
Mg 0.0000 0.0000 0.0000 [2 per cell]
Hg 0.1544 0.0000 0.6168 [4 per cell]
Au 0.0430 0.5000 0.2838 [4 per cell]
Au 0.1250 0.2632 0.0007 [8 per cell]
Au 0.2339 0.5000 0.7869 [4 per cell]